Below is a relaxed structure of CrFeS2, with properties calculated at the GGA-PBE level.

Calculated values
Formation energy (no corrections) ... -409.6 meV per atom
V ... 147.3 Å³ per cell
Symmetry ... I-42d

abc: 5.2594 5.2594 6.4966
angles: 66.12 66.12 90.00
Site moments in Bohr magnetons follow the coordinates.
Fractional coordinates of all 8 atoms:
Cr 0.5000 0.5000 0.0000  3.01
Cr 0.2500 0.7500 0.5000  3.01
Fe 0.0000 0.0000 0.0000  -2.91
Fe 0.7500 0.2500 0.5000  -2.91
S 0.1200 0.6250 0.2500  -0.13
S 0.8750 0.8800 0.7500  -0.12
S 0.6300 0.1250 0.2500  -0.13
S 0.3750 0.3700 0.7500  -0.13

---

Below is a relaxed structure of RbTa3O, with properties calculated at the GGA-PBE level.

Calculated values
Formation energy (no corrections) ... 760.1 meV per atom
V ... 90.1 Å³ per cell
Symmetry ... Pm-3m

abc: 4.4836 4.4836 4.4836
angles: 90.00 90.00 90.00
Fractional coordinates of all 5 atoms:
Ta 0.0000 0.5000 0.0000
Ta 0.0000 0.0000 0.5000
Ta 0.5000 0.0000 0.0000
O 0.0000 0.0000 0.0000
Rb 0.5000 0.5000 0.5000

---

Below is a relaxed structure of SrZn2InPd, with properties calculated at the GGA-PBE level.

Calculated values
V ... 125.5 Å³ per cell
Energy relative to the elements ... -0.28 eV/atom
Symmetry ... P4/mmm

abc: 4.9394 4.9394 5.1451
angles: 90.00 90.00 90.00
Fractional coordinates of all 5 atoms:
Sr 0.5000 0.5000 0.5000
Zn 0.0000 0.5000 0.0000
Zn 0.5000 0.0000 0.0000
Pd 0.0000 0.0000 0.0000
In 0.0000 0.0000 0.5000

---

Below is a relaxed structure of ZrAlCu5, with properties calculated at the GGA-PBE level.

Calculated values
V ... 390.2 Å³ per cell
Energy relative to the elements ... -0.19 eV/atom
Symmetry ... Pnma

abc: 4.8701 7.8981 10.1446
angles: 90.00 90.00 90.00
Fractional coordinates of all 28 atoms:
Cu 0.7500 0.5574 0.5847
Cu 0.7500 0.3154 0.7467
Cu 0.7500 0.0574 0.9153
Cu 0.0073 0.5660 0.8067
Cu 0.2500 0.1846 0.2467
Cu 0.7500 0.8154 0.7533
Cu 0.7500 0.9048 0.5179
Cu 0.7500 0.4048 0.9821
Cu 0.9927 0.9340 0.3067
Cu 0.4927 0.5660 0.8067
Cu 0.9927 0.4340 0.1933
Cu 0.2500 0.5952 0.0179
Cu 0.2500 0.0952 0.4821
Cu 0.5073 0.9340 0.3067
Cu 0.2500 0.6846 0.2533
Cu 0.2500 0.9426 0.0847
Cu 0.5073 0.4340 0.1933
Cu 0.2500 0.4426 0.4153
Cu 0.4927 0.0660 0.6933
Cu 0.0073 0.0660 0.6933
Al 0.7500 0.6433 0.3529
Al 0.2500 0.3567 0.6471
Al 0.2500 0.8567 0.8529
Al 0.7500 0.1433 0.1471
Zr 0.2500 0.7485 0.5604
Zr 0.7500 0.2515 0.4396
Zr 0.2500 0.2485 0.9396
Zr 0.7500 0.7515 0.0604

---

Below is a relaxed structure of Be3Co2, with properties calculated at the GGA-PBE level.

Calculated values
V ... 85.5 Å³ per cell
Energy relative to the elements ... -0.24 eV/atom
Symmetry ... Fdd2

abc: 6.4561 5.7145 4.3044
angles: 78.86 60.28 40.86
Site moments in Bohr magnetons follow the coordinates.
Fractional coordinates of all 10 atoms:
Be 0.8131 0.4631 0.8076  -0.01
Be 0.0167 0.9833 0.9833  -0.01
Be 0.2667 0.2333 0.2333  -0.01
Be 0.4424 0.3338 0.4369  -0.01
Be 0.9162 0.8076 0.4631  -0.01
Be 0.7869 0.4369 0.3338  -0.01
Co 0.5126 0.3791 0.8669  0.15
Co 0.2414 0.8669 0.3791  0.15
Co 0.3831 0.0086 0.7374  0.15
Co 0.8709 0.7374 0.0086  0.15

---

Below is a relaxed structure of YNiTe2, with properties calculated at the GGA-PBE level.

Calculated values
Formation energy (no corrections) ... -607.2 meV per atom
V ... 101.4 Å³ per cell
Symmetry ... C2/m

abc: 4.2181 4.2181 7.0105
angles: 72.61 72.61 60.06
Site moments in Bohr magnetons follow the coordinates.
Fractional coordinates of all 4 atoms:
Y 0.2500 0.2500 0.2500  0.04
Ni 0.7500 0.7500 0.7500  0.72
Te 0.0116 0.0116 0.9634  0.07
Te 0.4884 0.4884 0.5366  0.07

---

Below is a relaxed structure of Mg2TlSn2, with properties calculated at the GGA-PBE level.

Calculated values
V ... 262.3 Å³ per cell
Energy relative to the elements ... -0.08 eV/atom
Symmetry ... P4/mbm

abc: 9.0749 9.0749 3.1846
angles: 90.00 90.00 90.00
Fractional coordinates of all 10 atoms:
Mg 0.8656 0.6344 0.0000
Mg 0.1344 0.3656 0.0000
Mg 0.6344 0.1344 0.0000
Mg 0.3656 0.8656 0.0000
Sn 0.3389 0.1611 0.5000
Sn 0.1611 0.6611 0.5000
Sn 0.6611 0.8389 0.5000
Sn 0.8389 0.3389 0.5000
Tl 0.0000 0.0000 0.0000
Tl 0.5000 0.5000 0.0000

---

Below is a relaxed structure of Ba5Li2I12, with properties calculated at the GGA-PBE level.

Calculated values
Formation energy (no corrections) ... -1634.7 meV per atom
V ... 887.3 Å³ per cell
Symmetry ... C2/m

abc: 8.7864 10.5684 10.9701
angles: 105.17 90.00 114.56
Fractional coordinates of all 19 atoms:
Ba 0.3157 0.6314 0.1514
Ba 0.6843 0.3686 0.8486
Ba 0.0000 0.0000 0.5000
Ba 0.6890 0.3781 0.3408
Ba 0.3110 0.6219 0.6592
I 0.9040 0.3070 0.5732
I 0.5016 0.0032 0.1983
I 0.5970 0.6930 0.4268
I 0.4984 0.9968 0.8017
I 0.9966 0.9932 0.1909
I 0.4030 0.3070 0.5732
I 0.0960 0.6930 0.4268
I 0.5840 0.6677 0.9121
I 0.4160 0.3323 0.0879
I 0.0838 0.6677 0.9121
I 0.9162 0.3323 0.0879
I 0.0034 0.0068 0.8091
Li 0.7723 0.0000 0.0000
Li 0.2277 0.0000 0.0000

---

| no. | raw total energy (eV/atom) | density of states at the Fermi level (states/eV/cell) |
| --- | --- | --- |
| 1 | -6.995 | 5.1 |
| 2 | -7.537 | 5.3 |
| 3 | -2.710 | 2.9 |
| 4 | -4.873 | 10.1 |
| 5 | -5.316 | 8.5 |
| 6 | -5.239 | 4.0 |
| 7 | -2.790 | 3.7 |
| 8 | -3.321 | 0.0 |